Record 1
DFT (PBE) results for an optimized crystal structure of Pm4NpIr4.

Output
ΔE_f   -472.1 meV per atom
Symmetry   P4_2/n

Lattice parameters (Å, degrees): 8.762 8.762 5.915 90.00 90.00 90.00
Fractional coordinates of all 18 atoms:
Pm (0.059, 0.826, 0.131)
Pm (0.174, 0.559, 0.631)
Pm (0.326, 0.941, 0.631)
Pm (0.441, 0.674, 0.131)
Pm (0.559, 0.326, 0.869)
Pm (0.674, 0.059, 0.369)
Pm (0.826, 0.441, 0.369)
Pm (0.941, 0.174, 0.869)
Np (0.250, 0.250, 0.250)
Np (0.750, 0.750, 0.750)
Ir (0.007, 0.873, 0.627)
Ir (0.127, 0.507, 0.127)
Ir (0.373, 0.993, 0.127)
Ir (0.493, 0.627, 0.627)
Ir (0.507, 0.373, 0.373)
Ir (0.627, 0.007, 0.873)
Ir (0.873, 0.493, 0.873)
Ir (0.993, 0.127, 0.373)

***

Record 2
DFT (PBE) results for an optimized crystal structure of ReTc2W.

Output
ΔE_f   136.8 meV per atom
Symmetry   P2/m

Lattice parameters (Å, degrees): 2.727 4.304 5.321 90.00 103.24 90.00
Fractional coordinates of all 4 atoms:
Re (0.000, 0.000, 0.000)
Tc (0.327, 0.500, 0.750)
Tc (0.673, 0.500, 0.250)
W (0.500, 0.000, 0.500)

***

Record 3
DFT (PBE) results for an optimized crystal structure of LaFe2W.

Output
ΔE_f   633.0 meV per atom
Symmetry   Fm-3m

Lattice parameters (Å, degrees): 6.457 6.457 6.457 90.00 90.00 90.00
Fractional coordinates of all 16 atoms:
La (0.000, 0.000, 0.000)
La (0.000, 0.500, 0.500)
La (0.500, 0.000, 0.500)
La (0.500, 0.500, 0.000)
Fe (0.250, 0.250, 0.250)
Fe (0.250, 0.250, 0.750)
Fe (0.250, 0.750, 0.250)
Fe (0.250, 0.750, 0.750)
Fe (0.750, 0.250, 0.250)
Fe (0.750, 0.250, 0.750)
Fe (0.750, 0.750, 0.250)
Fe (0.750, 0.750, 0.750)
W (0.000, 0.000, 0.500)
W (0.000, 0.500, 0.000)
W (0.500, 0.000, 0.000)
W (0.500, 0.500, 0.500)

***

Record 4
DFT (PBE) results for an optimized crystal structure of Ho4AlIn.

Output
ΔE_f   -57.2 meV per atom
Symmetry   R-3m

Lattice parameters (Å, degrees): 8.837 8.837 8.837 33.46 33.46 33.46
Fractional coordinates of all 6 atoms:
Ho (0.122, 0.122, 0.122)
Ho (0.372, 0.372, 0.372)
Ho (0.628, 0.628, 0.628)
Ho (0.878, 0.878, 0.878)
Al (0.000, 0.000, 0.000)
In (0.500, 0.500, 0.500)